## InHg2Pd3 (PBE-GGA)

Data for an optimized crystal structure of InHg2Pd3.

Geometry as CIF:
```
data_InHg2Pd3
_chemical_formula_sum 'In1 Hg2 Pd3'
_cell_length_a 3.2945
_cell_length_b 3.2945
_cell_length_c 9.9642
_cell_angle_alpha 90.00
_cell_angle_beta 90.00
_cell_angle_gamma 90.00
_symmetry_space_group_name_H-M 'P 1'
_symmetry_Int_Tables_number 1
loop_
_symmetry_equiv_pos_as_xyz
'x,y,z'
loop_
_atom_site_label
_atom_site_type_symbol
_atom_site_fract_x
_atom_site_fract_y
_atom_site_fract_z
_atom_site_occupancy
Pd1 Pd 0.0000 0.0000 0.6571 1
Pd2 Pd 0.0000 0.0000 0.0000 1
Pd3 Pd 0.0000 0.0000 0.3429 1
Hg1 Hg 0.5000 0.5000 0.1677 1
Hg2 Hg 0.5000 0.5000 0.8323 1
In1 In 0.5000 0.5000 0.5000 1
```

Values from the calculation:
Fermi-level density of states (states/eV/f.u.): 3.21
E_form (eV per formula unit): -1.66
Space group: P4/mmm, No. 123
M_tot (μB/atom): 0.0000